An optimized crystal structure of TmLuCuTc. Source: Alexandria, functional PBE.

Computed properties:
Space-group type = No. 216
Formation energy = -0.174 eV/atom
Volume = 19.3 A^3/atom

Unit cell a=4.783 b=4.783 c=4.783 alpha=60.00 beta=60.00 gamma=60.00
Element x y z (fractional)
Tm 0.000 0.000 0.000
Lu 0.500 0.500 0.500
Cu 0.750 0.750 0.750
Tc 0.250 0.250 0.250

---

An optimized crystal structure of RbIn3Cu. Source: Alexandria, functional PBE.

Computed properties:
Space-group type = No. 63
Formation energy = 0.054 eV/atom
Relative energy among the computed polymorphs = 0 meV/atom
Volume = 28.3 A^3/atom

Unit cell a=7.327 b=7.327 c=6.084 alpha=90.00 beta=90.00 gamma=119.94
Element x y z (fractional)
Rb 0.166 0.834 0.750
Rb 0.834 0.166 0.250
In 0.146 0.323 0.750
In 0.323 0.146 0.250
In 0.323 0.677 0.250
In 0.677 0.323 0.750
In 0.677 0.854 0.750
In 0.854 0.677 0.250
Cu 0.500 0.500 0.000
Cu 0.500 0.500 0.500

---

An optimized crystal structure of GdCdGa2. Source: Alexandria, functional PBE.

Computed properties:
Space-group type = No. 225
Formation energy = -0.321 eV/atom
Volume = 21.6 A^3/atom

Unit cell a=4.959 b=4.959 c=4.959 alpha=60.00 beta=60.00 gamma=60.00
Element x y z (fractional)
Gd 0.000 0.000 0.000
Cd 0.500 0.500 0.500
Ga 0.250 0.250 0.250
Ga 0.750 0.750 0.750

---

An optimized crystal structure of Tc5Mo. Source: Alexandria, functional PBE.

Computed properties:
Space-group type = No. 187
Formation energy = 0.075 eV/atom
Relative energy among the computed polymorphs = 15 meV/atom
Volume = 14.8 A^3/atom

Unit cell a=2.764 b=2.764 c=13.426 alpha=90.00 beta=90.00 gamma=120.00
Element x y z (fractional)
Tc 0.000 0.000 0.000
Tc 0.000 0.000 0.327
Tc 0.000 0.000 0.673
Tc 0.333 0.667 0.165
Tc 0.333 0.667 0.835
Mo 0.333 0.667 0.500

---

An optimized crystal structure of AcYSi3. Source: Alexandria, functional PBE.

Computed properties:
Space-group type = No. 63
Energy relative to the elements, uncorrected = -316 kJ/mol of formula units
Volume = 22.7 A^3/atom

Unit cell a=12.691 b=12.691 c=4.021 alpha=90.00 beta=90.00 gamma=159.49
Element x y z (fractional)
Ac 0.072 0.928 0.750
Ac 0.928 0.072 0.250
Y 0.203 0.797 0.250
Y 0.797 0.203 0.750
Si 0.319 0.681 0.250
Si 0.377 0.623 0.750
Si 0.474 0.526 0.750
Si 0.526 0.474 0.250
Si 0.623 0.377 0.250
Si 0.681 0.319 0.750

---

An optimized crystal structure of TbNdSm2Bi5. Source: Alexandria, functional PBE.

Computed properties:
Space-group type = No. 123
Formation energy = 0.035 eV/atom
Volume = 41.1 A^3/atom

Unit cell a=5.560 b=5.560 c=11.971 alpha=90.00 beta=90.00 gamma=90.00
Element x y z (fractional)
Tb 0.000 0.000 0.000
Nd 0.000 0.000 0.500
Sm 0.500 0.500 0.273
Sm 0.500 0.500 0.727
Bi 0.000 0.000 0.243
Bi 0.000 0.000 0.757
Bi 0.000 0.500 0.500
Bi 0.500 0.000 0.500
Bi 0.500 0.500 0.000

---

An optimized crystal structure of Ca2TbSmS4. Source: Alexandria, functional PBE.

Computed properties:
Space-group type = No. 10
Energy relative to the elements, uncorrected = -1590 kJ/mol of formula units
Volume = 22.5 A^3/atom

Unit cell a=6.873 b=3.971 c=6.993 alpha=90.00 beta=109.14 gamma=90.00
Element x y z (fractional)
Ca 0.000 0.000 0.000
Ca 0.500 0.500 0.000
Tb 0.000 0.500 0.500
Sm 0.500 0.000 0.500
S 0.246 0.000 0.748
S 0.246 0.500 0.249
S 0.754 0.000 0.252
S 0.754 0.500 0.751

---

An optimized crystal structure of KMn2Ge2. Source: Alexandria, functional PBE.

Computed properties:
Space-group type = No. 127
Formation energy = 0.191 eV/atom
Relative energy among the computed polymorphs = 161 meV/atom
Volume = 18.8 A^3/atom

Unit cell a=8.224 b=8.224 c=2.783 alpha=90.00 beta=90.00 gamma=90.00
Element x y z (fractional)
K 0.000 0.000 0.000
K 0.500 0.500 0.000
Mn 0.136 0.364 0.500
Mn 0.364 0.864 0.500
Mn 0.636 0.136 0.500
Mn 0.864 0.636 0.500
Ge 0.148 0.648 0.000
Ge 0.352 0.148 0.000
Ge 0.648 0.852 0.000
Ge 0.852 0.352 0.000

---

An optimized crystal structure of Cd2HgBi. Source: Alexandria, functional PBE.

Computed properties:
Space-group type = No. 225
Formation energy = 0.055 eV/atom
Relative energy among the computed polymorphs = 22 meV/atom
Volume = 26.4 A^3/atom

Unit cell a=5.309 b=5.309 c=5.309 alpha=60.00 beta=60.00 gamma=60.00
Element x y z (fractional)
Cd 0.250 0.250 0.250
Cd 0.750 0.750 0.750
Hg 0.000 0.000 0.000
Bi 0.500 0.500 0.500

---

An optimized crystal structure of LiSbMo2. Source: Alexandria, functional PBE.

Computed properties:
Space-group type = No. 216
Energy relative to the elements, uncorrected = 9 kJ/mol of formula units
Volume = 16.1 A^3/atom

Unit cell a=4.497 b=4.497 c=4.497 alpha=60.00 beta=60.00 gamma=60.00
Element x y z (fractional)
Li 0.000 0.000 0.000
Sb 0.250 0.250 0.250
Mo 0.500 0.500 0.500
Mo 0.750 0.750 0.750

---

An optimized crystal structure of KZn2Ga2. Source: Alexandria, functional PBE.

Computed properties:
Space-group type = No. 127
Formation energy = 0.030 eV/atom
Relative energy among the computed polymorphs = 72 meV/atom
Volume = 20.6 A^3/atom

Unit cell a=8.529 b=8.529 c=2.829 alpha=90.00 beta=90.00 gamma=90.00
Element x y z (fractional)
K 0.000 0.000 0.000
K 0.500 0.500 0.000
Zn 0.138 0.362 0.000
Zn 0.362 0.862 0.000
Zn 0.638 0.138 0.000
Zn 0.862 0.638 0.000
Ga 0.151 0.651 0.500
Ga 0.349 0.151 0.500
Ga 0.651 0.849 0.500
Ga 0.849 0.349 0.500

---

An optimized crystal structure of K3BPd. Source: Alexandria, functional PBE.

Computed properties:
Space-group type = No. 221
Formation energy = 1.001 eV/atom
Relative energy among the computed polymorphs = 0 meV/atom
Volume = 40.2 A^3/atom

Unit cell a=5.859 b=5.859 c=5.859 alpha=90.00 beta=90.00 gamma=90.00
Element x y z (fractional)
K 0.000 0.000 0.500
K 0.000 0.500 0.000
K 0.500 0.000 0.000
B 0.000 0.000 0.000
Pd 0.500 0.500 0.500

---

An optimized crystal structure of Li2ErPb2. Source: Alexandria, functional PBE.

Computed properties:
Space-group type = No. 127
Formation energy = -0.314 eV/atom
Volume = 22.8 A^3/atom

Unit cell a=8.387 b=8.387 c=3.241 alpha=90.00 beta=90.00 gamma=90.00
Element x y z (fractional)
Li 0.114 0.386 0.000
Li 0.386 0.886 0.000
Li 0.614 0.114 0.000
Li 0.886 0.614 0.000
Er 0.000 0.000 0.000
Er 0.500 0.500 0.000
Pb 0.180 0.680 0.500
Pb 0.320 0.180 0.500
Pb 0.680 0.820 0.500
Pb 0.820 0.320 0.500

---

An optimized crystal structure of SrInCl4. Source: Alexandria, functional PBE.

Computed properties:
Space-group type = No. 15
Relative energy among the computed polymorphs = 0 meV/atom
Energy relative to the elements, uncorrected = -944 kJ/mol of formula units
Volume = 29.2 A^3/atom

Unit cell a=8.545 b=8.545 c=6.893 alpha=110.17 beta=110.17 gamma=114.85
Element x y z (fractional)
Sr 0.130 0.870 0.750
Sr 0.870 0.130 0.250
In 0.406 0.594 0.250
In 0.594 0.406 0.750
Cl 0.129 0.555 0.362
Cl 0.196 0.259 0.758
Cl 0.259 0.196 0.258
Cl 0.445 0.871 0.138
Cl 0.555 0.129 0.862
Cl 0.741 0.804 0.742
Cl 0.804 0.741 0.242
Cl 0.871 0.445 0.638

---

An optimized crystal structure of Pr6SmHo3Tm2. Source: Alexandria, functional PBE.

Computed properties:
Space-group type = No. 12
Formation energy = 0.014 eV/atom
Volume = 33.4 A^3/atom

Unit cell a=6.296 b=6.296 c=11.864 alpha=95.06 beta=95.06 gamma=120.00
Element x y z (fractional)
Pr 0.082 0.416 0.250
Pr 0.250 0.250 0.750
Pr 0.416 0.082 0.250
Pr 0.584 0.918 0.750
Pr 0.750 0.750 0.250
Pr 0.918 0.584 0.750
Sm 0.500 0.500 0.500
Ho 0.000 0.000 0.000
Ho 0.333 0.667 0.000
Ho 0.667 0.333 0.000
Tm 0.167 0.833 0.500
Tm 0.833 0.167 0.500

---

An optimized crystal structure of IrSe3. Source: Alexandria, functional PBE.

Computed properties:
Space-group type = No. 44
Relative energy among the computed polymorphs = 219 meV/atom
Energy relative to the elements, uncorrected = 16 kJ/mol of formula units
Volume = 24.4 A^3/atom

Unit cell a=6.308 b=6.308 c=6.308 alpha=147.37 beta=58.00 gamma=133.45
Element x y z (fractional)
Ir 0.000 0.000 0.000
Se 0.350 0.850 0.500
Se 0.692 0.333 0.359
Se 0.975 0.333 0.641

---

An optimized crystal structure of GdSn2Ge. Source: Alexandria, functional PBE.

Computed properties:
Space-group type = No. 166
Formation energy = 0.167 eV/atom
Relative energy among the computed polymorphs = 608 meV/atom
Volume = 28.3 A^3/atom

Unit cell a=10.702 b=10.702 c=10.702 alpha=18.98 beta=18.98 gamma=18.98
Element x y z (fractional)
Gd 0.000 0.000 0.000
Sn 0.100 0.100 0.100
Sn 0.900 0.900 0.900
Ge 0.500 0.500 0.500

---

An optimized crystal structure of CuRe2Hg. Source: Alexandria, functional PBE.

Computed properties:
Space-group type = No. 65
Formation energy = 0.848 eV/atom
Volume = 15.9 A^3/atom

Unit cell a=5.153 b=5.153 c=2.732 alpha=90.00 beta=90.00 gamma=118.96
Element x y z (fractional)
Cu 0.000 0.000 0.000
Re 0.000 0.500 0.500
Re 0.500 0.000 0.500
Hg 0.500 0.500 0.000

---

An optimized crystal structure of LiScPt2. Source: Alexandria, functional PBE.

Computed properties:
Space-group type = No. 99
Formation energy = -0.725 eV/atom
Relative energy among the computed polymorphs = 278 meV/atom
Volume = 16.5 A^3/atom

Unit cell a=3.455 b=3.455 c=5.519 alpha=90.00 beta=90.00 gamma=90.00
Element x y z (fractional)
Li 0.000 0.000 0.000
Sc 0.500 0.500 0.692
Pt 0.000 0.000 0.481
Pt 0.500 0.500 0.168

---

An optimized crystal structure of ScH3Pd. Source: Alexandria, functional PBE.

Computed properties:
Space-group type = No. 12
Volume = 9.3 A^3/atom

Unit cell a=5.467 b=5.467 c=3.314 alpha=91.39 beta=91.39 gamma=70.19
Element x y z (fractional)
Sc 0.230 0.230 0.201
Sc 0.770 0.770 0.799
H 0.028 0.631 0.267
H 0.369 0.972 0.733
H 0.375 0.375 0.690
H 0.625 0.625 0.310
H 0.631 0.028 0.267
H 0.972 0.369 0.733
Pd 0.270 0.730 0.500
Pd 0.730 0.270 0.500

---

Record-wise VASP energy values, in eV for the cell shown: -24.2, -26.0, -22.3, -62.2, -60.2, -37.9, -46.3, -55.4, -5.8, -27.6, -19.1, -10.2, -34.8, -43.2, -55.9, -19.2, -26.0, -25.9, -23.2, -47.4